Entry from Alexandria: Ca2CdNiMo after structural relaxation (GGA-PBE).

Computed properties:
total DFT energy (no corrections) = -18.021 eV for the cell shown
D(E_F) = 4.5 states/eV/cell
DFT formation energy = 0.702 eV per atom
symmetry = No. 123

a b c (Å): 5.211 5.211 4.959
angles (deg): 90.00 90.00 90.00
Fractional coordinates of all 5 atoms:
Ca 0.000 0.500 0.000
Ca 0.500 0.000 0.000
Cd 0.000 0.000 0.500
Ni 0.000 0.000 0.000
Mo 0.500 0.500 0.500